Record 1
Entry from the Alexandria database: a relaxed Cs3Pr3NbS8 crystal (GGA-PBE).

a = 8.2272 Å, b = 8.2273 Å, c = 9.5215 Å
α = 115.62°, β = 90.00°, γ = 120.00°
Closest atoms and distances in Å follow each position.
Fractional positions:
Pr (0.0000, 0.5000, 0.5000)  6 S 2.85-2.89
Cs (0.0000, 0.0000, 0.0000)  6 S 3.49-3.51
S (0.2699, 0.5398, 0.3098)  3 Pr 2.85
S (0.7586, 0.9666, 0.6743)  1 Nb 2.57
Nb (0.0000, 0.0000, 0.5000)  6 S 2.57
S (0.7919, 0.5839, 0.3256)  1 Nb 2.57
S (0.2080, 0.9666, 0.6743)  1 Nb 2.57
Pr (0.5000, 0.5000, 0.5000)  6 S 2.85-2.89
Cs (0.5000, 0.5000, 0.0000)  6 S 3.49-3.51
S (0.2081, 0.4161, 0.6744)  1 Nb 2.57
Pr (0.5000, 0.0000, 0.5000)  6 S 2.85-2.89
S (0.2414, 0.0334, 0.3257)  1 Nb 2.57
S (0.7920, 0.0334, 0.3257)  1 Nb 2.57
Cs (0.0000, 0.5000, 0.0000)  6 S 3.49-3.51
S (0.7301, 0.4602, 0.6902)  3 Pr 2.85

Computed properties:
- Volume: 32.24 A^3/atom
- Uncorrected formation energy: -1.583 eV per atom
- SG: R-3m (166)



Record 2
Entry from the Alexandria database: a relaxed Cs2NbPt crystal (GGA-PBE).

a = 5.7141 Å, b = 5.7141 Å, c = 5.7141 Å
α = 60.00°, β = 60.00°, γ = 60.00°
Closest atoms and distances in Å follow each position.
Fractional positions:
Cs (0.7500, 0.7500, 0.7500)  4 Pt 3.50, 4 Nb 3.50
Nb (0.0000, 0.0000, 0.0000)  8 Cs 3.50
Pt (0.5000, 0.5000, 0.5000)  8 Cs 3.50
Cs (0.2500, 0.2500, 0.2500)  4 Nb 3.50, 4 Pt 3.50

Computed properties:
- Volume: 32.98 A^3/atom
- Formation enthalpy at 0 K: 1421 meV per atom
- SG: Fm-3m (225)



Number 1: spin magnetization 1.01 μB/cell. Number 2: spin magnetization 4.99 μB/cell.